[1]
{"formula": "LaYMg2", "functional": "PBE", "state": "optimized geometry", "lattice_angstrom": [[5.8907, 0.0130, -0.0145], [4.7920, 3.4258, -0.0145], [1.1350, 0.3654, 5.9784]], "species": ["Mg", "Y", "Mg", "La"], "frac_coords": [[0.0041, 0.0041, 0.9849], [0.7500, 0.7500, 0.7500], [0.4959, 0.4959, 0.5151], [0.2500, 0.2500, 0.2500]], "ef_ev_per_fu": 0.1, "energy_ev_per_atom": -3.612, "m_tot_mub_per_cell": 0.00}


[2]
{"formula": "ZrNpB", "functional": "PBE", "state": "optimized geometry", "lattice_angstrom": [[4.2127, 0.0000, 0.0000], [0.0000, 4.9243, -0.1461], [0.0000, -1.2058, 4.8353]], "species": ["Zr", "Zr", "B", "Np", "Np", "B"], "frac_coords": [[0.2500, 0.2883, 0.0954], [0.7500, 0.7117, 0.9046], [0.7500, 0.5811, 0.3368], [0.7500, 0.1315, 0.5155], [0.2500, 0.8685, 0.4845], [0.2500, 0.4189, 0.6632]], "ef_ev_per_fu": 0.0, "energy_ev_per_atom": -9.373, "m_tot_mub_per_cell": 1.81}


[3]
{"formula": "Hf3TiIr", "functional": "PBE", "state": "optimized geometry", "lattice_angstrom": [[-4.0384, 2.4082, 0.6788], [-1.5568, -1.4094, -4.2613], [-1.9587, -3.8448, 1.9873]], "species": ["Hf", "Hf", "Ti", "Ir", "Hf"], "frac_coords": [[0.5000, 0.0000, 0.0000], [0.0000, 0.0000, 0.5000], [0.0000, 0.0000, 0.0000], [0.5000, 0.5000, 0.5000], [0.0000, 0.5000, 0.0000]], "ef_ev_per_fu": 5.1, "energy_ev_per_atom": -8.313, "de_polymorph_ev_per_atom": 0.609, "m_tot_mub_per_cell": 0.00}